Entry 1:
ThGa2CuRh2 PBE relaxed; formation energy = -244 meV per atom; space group = P4/mmm (123); D(E_F) = 3.663 states/eV/cell
1.0
4.4408 0.0000 0.0000
0.0000 4.4408 0.0000
0.0000 0.0000 5.6203
Th Ga Cu Rh
1 2 1 2
Direct
0.0000 0.0000 0.0000 Th
0.0000 0.5000 0.5000 Ga
0.5000 0.0000 0.5000 Ga
0.0000 0.0000 0.5000 Cu
0.5000 0.5000 0.2395 Rh
0.5000 0.5000 0.7605 Rh

---

Entry 2:
LiHoNp2Se4 PBE relaxed; formation energy from raw total energies = -1324.6 meV per atom; space group = P2/m (10); D(E_F) = 19.656 states/eV/cell
1.0
7.0262 0.0000 0.0000
0.0000 4.0676 0.0000
-2.3510 0.0000 6.6544
Li Ho Np Se
1 1 2 4
Direct
0.0000 0.0000 0.0000 Li
0.5000 0.5000 0.0000 Ho
0.0000 0.5000 0.5000 Np
0.5000 0.0000 0.5000 Np
0.2432 0.5000 0.2392 Se
0.2477 0.0000 0.7589 Se
0.7523 0.0000 0.2411 Se
0.7568 0.5000 0.7608 Se

---

Entry 3:
Cd2TcCl PBE relaxed; formation energy from raw total energies = 120.3 meV per atom; space group = R3m (160); D(E_F) = 5.638 states/eV/cell
1.0
3.0297 0.0000 0.0000
-1.5149 2.6238 0.0000
0.0000 0.0000 31.2749
Cd Tc Cl
6 3 3
Direct
0.0000 0.0000 0.0000 Cd
0.0000 0.0000 0.2409 Cd
0.3333 0.6667 0.6667 Cd
0.3333 0.6667 0.9076 Cd
0.6667 0.3333 0.3333 Cd
0.6667 0.3333 0.5743 Cd
0.0000 0.0000 0.4994 Tc
0.3333 0.6667 0.1660 Tc
0.6667 0.3333 0.8327 Tc
0.0000 0.0000 0.7795 Cl
0.3333 0.6667 0.4462 Cl
0.6667 0.3333 0.1129 Cl

---

Entry 4:
Rb2HfICl6 PBE relaxed; formation energy from raw total energies = -1568.6 meV per atom; space group = I4/mmm (139); D(E_F) = 7.217 states/eV/cell
1.0
-4.0947 4.0947 6.0830
4.0947 -4.0947 6.0830
4.0947 4.0947 -6.0830
Rb Hf I Cl
2 1 1 6
Direct
0.2500 0.7500 0.5000 Rb
0.7500 0.2500 0.5000 Rb
0.0000 0.0000 0.0000 Hf
0.5000 0.5000 0.0000 I
0.2020 0.2020 0.0000 Cl
0.2123 0.2123 0.4245 Cl
0.2123 0.7877 0.0000 Cl
0.7877 0.2123 0.0000 Cl
0.7877 0.7877 0.5755 Cl
0.7980 0.7980 0.0000 Cl

---

Entry 5:
ZnSn2O6 PBE relaxed; formation energy from raw total energies = -1139.3 meV per atom; space group = P4_2/mnm (136); D(E_F) = 15.168 states/eV/cell
1.0
4.8205 0.0000 0.0000
0.0000 4.8205 0.0000
0.0000 0.0000 9.6384
Zn Sn O
2 4 12
Direct
0.0000 0.0000 0.0000 Zn
0.5000 0.5000 0.5000 Zn
0.0000 0.0000 0.3326 Sn
0.0000 0.0000 0.6674 Sn
0.5000 0.5000 0.1674 Sn
0.5000 0.5000 0.8326 Sn
0.1937 0.1937 0.1664 O
0.1941 0.1941 0.5000 O
0.1937 0.1937 0.8336 O
0.3059 0.6941 0.0000 O
0.3063 0.6937 0.3336 O
0.3063 0.6937 0.6664 O
0.6941 0.3059 0.0000 O
0.6937 0.3063 0.3336 O
0.6937 0.3063 0.6664 O
0.8063 0.8063 0.1664 O
0.8059 0.8059 0.5000 O
0.8063 0.8063 0.8336 O

---

Entry 6:
ScTl5S4 PBE relaxed; formation energy from raw total energies = -730.6 meV per atom; space group = C2/m (12)
1.0
9.0709 -1.9753 0.0000
9.0709 1.9753 0.0000
-2.4138 0.0000 8.0473
Sc Tl S
1 5 4
Direct
0.0000 0.0000 0.0000 Sc
0.0000 0.0000 0.5000 Tl
0.3190 0.3190 0.6899 Tl
0.3427 0.3427 0.1956 Tl
0.6573 0.6573 0.8044 Tl
0.6810 0.6810 0.3101 Tl
0.1501 0.1501 0.0435 S
0.4836 0.4836 0.7827 S
0.5164 0.5164 0.2173 S
0.8499 0.8499 0.9565 S

---

Entry 7:
NaTbHo2 PBE relaxed; formation energy = 139 meV per atom; space group = P4/mmm (123); D(E_F) = 4.413 states/eV/cell
1.0
3.5339 0.0000 0.0000
0.0000 3.5339 0.0000
0.0000 0.0000 10.4600
Na Tb Ho
1 1 2
Direct
0.0000 0.0000 0.0000 Na
0.0000 0.0000 0.5000 Tb
0.5000 0.5000 0.2700 Ho
0.5000 0.5000 0.7300 Ho

---

Entry 8:
La2SmSe4 PBE relaxed; formation energy from raw total energies = -1923.1 meV per atom; space group = Cmcm (63); D(E_F) = 4.264 states/eV/cell
1.0
2.0544 -7.1497 0.0000
2.0544 7.1497 0.0000
0.0000 0.0000 14.2373
La Sm Se
4 2 8
Direct
0.1302 0.8698 0.5725 La
0.1302 0.8698 0.9275 La
0.8698 0.1302 0.0725 La
0.8698 0.1302 0.4275 La
0.3725 0.6275 0.7500 Sm
0.6275 0.3725 0.2500 Sm
0.0205 0.9795 0.7500 Se
0.2210 0.7790 0.1250 Se
0.2210 0.7790 0.3750 Se
0.5000 0.5000 0.0000 Se
0.5000 0.5000 0.5000 Se
0.7790 0.2210 0.6250 Se
0.7790 0.2210 0.8750 Se
0.9795 0.0205 0.2500 Se

---

Entry 9:
LiTaOs2 PBE relaxed; formation energy = 696 meV per atom; space group = Immm (71); D(E_F) = 5.901 states/eV/cell
1.0
2.6940 0.0000 0.0000
0.0000 4.3825 0.0000
0.0000 0.0000 9.9442
Li Ta Os
2 2 4
Direct
0.0000 0.0000 0.0000 Li
0.5000 0.5000 0.5000 Li
0.0000 0.0000 0.5000 Ta
0.5000 0.5000 0.0000 Ta
0.0000 0.0000 0.2163 Os
0.0000 0.0000 0.7837 Os
0.5000 0.5000 0.2837 Os
0.5000 0.5000 0.7163 Os

---

Entry 10:
MgZn3Ag5 PBE relaxed; formation energy = 140 meV per atom; space group = C2/m (12); D(E_F) = 5.661 states/eV/cell
1.0
4.3872 -3.6757 0.0000
4.3872 3.6757 0.0000
-0.9993 0.0000 10.8356
Mg Zn Ag
2 6 10
Direct
0.0421 0.0421 0.2604 Mg
0.9579 0.9579 0.7396 Mg
0.0000 0.0000 0.0000 Zn
0.0000 0.0000 0.5000 Zn
0.2537 0.2537 0.8752 Zn
0.3214 0.3214 0.4831 Zn
0.6786 0.6786 0.5169 Zn
0.7463 0.7463 0.1248 Zn
0.0024 0.5766 0.3333 Ag
0.2695 0.2695 0.1221 Ag
0.3234 0.6766 0.0000 Ag
0.4234 0.9976 0.6667 Ag
0.4845 0.4845 0.7051 Ag
0.5155 0.5155 0.2949 Ag
0.5766 0.0024 0.3333 Ag
0.6766 0.3234 0.0000 Ag
0.7305 0.7305 0.8779 Ag
0.9976 0.4234 0.6667 Ag

---

Entry 11:
Tb4HgSe2 PBE relaxed; formation energy from raw total energies = -1159.8 meV per atom; space group = Cmcm (63); D(E_F) = 9.942 states/eV/cell
1.0
2.0455 -6.6168 0.0000
2.0455 6.6168 0.0000
0.0000 0.0000 14.0676
Tb Hg Se
8 2 4
Direct
0.0000 0.0000 0.0000 Tb
0.0000 0.0000 0.5000 Tb
0.2733 0.7267 0.6230 Tb
0.2733 0.7267 0.8770 Tb
0.4379 0.5621 0.2500 Tb
0.5621 0.4379 0.7500 Tb
0.7267 0.2733 0.1230 Tb
0.7267 0.2733 0.3770 Tb
0.1104 0.8896 0.2500 Hg
0.8896 0.1104 0.7500 Hg
0.3630 0.6370 0.0599 Se
0.3630 0.6370 0.4401 Se
0.6370 0.3630 0.5599 Se
0.6370 0.3630 0.9401 Se

---

Entry 12:
K2BeZn PBE relaxed; formation energy = 470 meV per atom; space group = Pmm2 (25); D(E_F) = 2.372 states/eV/cell
1.0
3.3972 0.0000 0.0000
0.0000 3.5715 0.0000
0.0000 0.0000 10.0710
K Be Zn
2 1 1
Direct
0.0000 0.0000 0.0000 K
0.5000 0.5000 0.4091 K
0.5000 0.5000 0.7263 Be
0.0000 0.0000 0.6815 Zn

---

Entry 13:
LiRu2N PBE relaxed; formation energy from raw total energies = 168.0 meV per atom; space group = I-42d (122); D(E_F) = 11.901 states/eV/cell
1.0
6.6823 0.0000 0.0000
0.0000 6.6823 0.0000
0.0000 0.0000 4.3838
Li Ru N
4 8 4
Direct
0.0000 0.0000 0.0000 Li
0.0000 0.5000 0.2500 Li
0.5000 0.0000 0.7500 Li
0.5000 0.5000 0.5000 Li
0.1354 0.7500 0.6250 Ru
0.2500 0.1354 0.3750 Ru
0.2500 0.3646 0.8750 Ru
0.3646 0.7500 0.1250 Ru
0.6354 0.2500 0.1250 Ru
0.7500 0.6354 0.8750 Ru
0.7500 0.8646 0.3750 Ru
0.8646 0.2500 0.6250 Ru
0.0000 0.0000 0.5000 N
0.0000 0.5000 0.7500 N
0.5000 0.0000 0.2500 N
0.5000 0.5000 0.0000 N

---

Entry 14:
Mg2InB2Ir5 PBE relaxed; formation energy = -400 meV per atom; space group = P4/mbm (127); D(E_F) = 5.003 states/eV/cell
1.0
9.7367 0.0000 0.0000
0.0000 9.7367 0.0000
0.0000 0.0000 2.9771
Mg In B Ir
4 2 4 10
Direct
0.1784 0.3216 0.0000 Mg
0.3216 0.8216 0.0000 Mg
0.6784 0.1784 0.0000 Mg
0.8216 0.6784 0.0000 Mg
0.0000 0.0000 0.0000 In
0.5000 0.5000 0.0000 In
0.1236 0.6236 0.0000 B
0.3764 0.1236 0.0000 B
0.6236 0.8764 0.0000 B
0.8764 0.3764 0.0000 B
0.0000 0.5000 0.5000 Ir
0.0688 0.7745 0.5000 Ir
0.2255 0.0688 0.5000 Ir
0.2745 0.5688 0.5000 Ir
0.4312 0.2745 0.5000 Ir
0.5000 0.0000 0.5000 Ir
0.5688 0.7255 0.5000 Ir
0.7255 0.4312 0.5000 Ir
0.7745 0.9312 0.5000 Ir
0.9312 0.2255 0.5000 Ir

---

Entry 15:
YCd2Os PBE relaxed; formation energy = 280 meV per atom; space group = P4/mmm (123); D(E_F) = 2.763 states/eV/cell
1.0
3.7006 0.0000 0.0000
0.0000 3.7006 0.0000
0.0000 0.0000 6.0718
Y Cd Os
1 2 1
Direct
0.0000 0.0000 0.0000 Y
0.5000 0.5000 0.2764 Cd
0.5000 0.5000 0.7236 Cd
0.0000 0.0000 0.5000 Os

---

Entry 16:
MnAlZnAg2 PBE relaxed; formation energy = 858 meV per atom; space group = P4/mmm (123); D(E_F) = 3.432 states/eV/cell
1.0
4.9634 0.0000 0.0000
0.0000 4.9634 0.0000
0.0000 0.0000 4.7691
Mn Al Zn Ag
1 1 1 2
Direct
0.0000 0.0000 0.0000 Mn
0.0000 0.0000 0.5000 Al
0.5000 0.5000 0.5000 Zn
0.0000 0.5000 0.0000 Ag
0.5000 0.0000 0.0000 Ag

---

Entry 17:
PaTl2Re3O12 PBE relaxed; formation energy from raw total energies = -1801.4 meV per atom; space group = R-3m (166); D(E_F) = 9.607 states/eV/cell
1.0
3.6745 2.1215 6.3683
-3.6745 2.1215 6.3683
0.0000 -4.2429 6.3683
Pa Tl Re O
1 2 3 12
Direct
0.0000 0.0000 0.0000 Pa
0.3414 0.3414 0.3414 Tl
0.6586 0.6586 0.6586 Tl
0.0000 0.0000 0.5000 Re
0.0000 0.5000 0.0000 Re
0.5000 0.0000 0.0000 Re
0.0657 0.7014 0.7014 O
0.0764 0.0764 0.6517 O
0.0764 0.6517 0.0764 O
0.2986 0.2986 0.9343 O
0.2986 0.9343 0.2986 O
0.3483 0.9236 0.9236 O
0.6517 0.0764 0.0764 O
0.7014 0.0657 0.7014 O
0.7014 0.7014 0.0657 O
0.9236 0.3483 0.9236 O
0.9236 0.9236 0.3483 O
0.9343 0.2986 0.2986 O

---

Entry 18:
PrGa3Rh3 PBE relaxed; formation energy = -590 meV per atom; space group = P2_13 (198); D(E_F) = 15.779 states/eV/cell
1.0
7.8302 0.0000 0.0000
0.0000 7.8302 0.0000
0.0000 0.0000 7.8302
Pr Ga Rh
4 12 12
Direct
0.0620 0.4380 0.5620 Pr
0.4380 0.5620 0.0620 Pr
0.5620 0.0620 0.4380 Pr
0.9380 0.9380 0.9380 Pr
0.0016 0.8067 0.5800 Ga
0.0800 0.4984 0.1933 Ga
0.1933 0.0800 0.4984 Ga
0.3067 0.9200 0.9984 Ga
0.4200 0.5016 0.6933 Ga
0.4984 0.1933 0.0800 Ga
0.5016 0.6933 0.4200 Ga
0.5800 0.0016 0.8067 Ga
0.6933 0.4200 0.5016 Ga
0.8067 0.5800 0.0016 Ga
0.9200 0.9984 0.3067 Ga
0.9984 0.3067 0.9200 Ga
0.1155 0.6155 0.8845 Rh
0.1727 0.1727 0.1727 Rh
0.2078 0.7922 0.2922 Rh
0.2922 0.2078 0.7922 Rh
0.3273 0.8273 0.6727 Rh
0.3845 0.3845 0.3845 Rh
0.6155 0.8845 0.1155 Rh
0.6727 0.3273 0.8273 Rh
0.7078 0.7078 0.7078 Rh
0.7922 0.2922 0.2078 Rh
0.8273 0.6727 0.3273 Rh
0.8845 0.1155 0.6155 Rh

---

Entry 19:
MgMn2Br PBE relaxed; formation energy from raw total energies = 499.2 meV per atom; space group = I-42d (122); D(E_F) = 13.336 states/eV/cell
1.0
7.6754 0.0000 0.0000
0.0000 7.6754 0.0000
0.0000 0.0000 5.6349
Mg Mn Br
4 8 4
Direct
0.0000 0.0000 0.0000 Mg
0.0000 0.5000 0.2500 Mg
0.5000 0.0000 0.7500 Mg
0.5000 0.5000 0.5000 Mg
0.2269 0.2500 0.6250 Mn
0.2500 0.7269 0.8750 Mn
0.2500 0.7731 0.3750 Mn
0.2731 0.2500 0.1250 Mn
0.7269 0.7500 0.1250 Mn
0.7500 0.2269 0.3750 Mn
0.7500 0.2731 0.8750 Mn
0.7731 0.7500 0.6250 Mn
0.0000 0.0000 0.5000 Br
0.0000 0.5000 0.7500 Br
0.5000 0.0000 0.2500 Br
0.5000 0.5000 0.0000 Br

---

Entry 20:
HfGaS2N PBE relaxed; formation energy from raw total energies = 217.4 meV per atom; space group = P4/mmm (123); D(E_F) = 4.013 states/eV/cell
1.0
4.7490 0.0000 0.0000
0.0000 4.7490 0.0000
0.0000 0.0000 3.6255
Hf Ga S N
1 1 2 1
Direct
0.0000 0.0000 0.0000 Hf
0.5000 0.5000 0.5000 Ga
0.0000 0.5000 0.5000 S
0.5000 0.0000 0.5000 S
0.5000 0.5000 0.0000 N

---

Entry 21:
CsBa2BeTl PBE relaxed; formation energy = 236 meV per atom; space group = P4/mmm (123); D(E_F) = 6.788 states/eV/cell
1.0
6.6014 0.0000 0.0000
0.0000 6.6014 0.0000
0.0000 0.0000 4.8909
Cs Ba Be Tl
1 2 1 1
Direct
0.0000 0.0000 0.0000 Cs
0.0000 0.5000 0.5000 Ba
0.5000 0.0000 0.5000 Ba
0.5000 0.5000 0.5000 Be
0.5000 0.5000 0.0000 Tl

---

Entry 22:
P2PdAu PBE relaxed; formation energy = 98 meV per atom; space group = I-42d (122); D(E_F) = 9.189 states/eV/cell
1.0
5.3271 0.0000 0.0000
0.0000 5.3271 0.0000
0.0000 0.0000 11.5620
P Pd Au
8 4 4
Direct
0.2321 0.2500 0.1250 P
0.2500 0.7321 0.3750 P
0.2500 0.7679 0.8750 P
0.2679 0.2500 0.6250 P
0.7321 0.7500 0.6250 P
0.7500 0.2321 0.8750 P
0.7500 0.2679 0.3750 P
0.7679 0.7500 0.1250 P
0.0000 0.0000 0.0000 Pd
0.0000 0.5000 0.2500 Pd
0.5000 0.0000 0.7500 Pd
0.5000 0.5000 0.5000 Pd
0.0000 0.0000 0.5000 Au
0.0000 0.5000 0.7500 Au
0.5000 0.0000 0.2500 Au
0.5000 0.5000 0.0000 Au

---

VASP energy in eV per atom, matching the order above: -5.62, -7.11, -3.39, -4.02, -5.48, -4.20, -3.64, -6.00, -8.36, -2.05, -4.84, -1.33, -7.03, -6.76, -4.60, -3.12, -7.97, -5.72, -4.90, -5.69, -1.92, -4.72
M_tot in μB/f.u., matching the order above: 0.00, 9.01, 0.70, 1.00, 2.05, 0.00, 0.00, 0.00, 0.00, 0.00, 0.00, 0.00, 0.00, 0.00, 0.00, 3.78, 2.15, 0.00, 8.17, 0.00, 0.00, 0.00